The following is a PBE calculation of a relaxed InCuAsBr2 crystal, from the Alexandria database.

- Calculated density: 5.08 g/cm3
- Offset from the most stable computed form: 0.0000 eV per atom
- Symmetry: P4/mmm, No. 123
- ΔE_f (raw): 0.06 eV per atom

Geometry as extended XYZ:
```
5
Lattice="5.338 0.000 0.000 0.000 5.338 0.000 0.000 0.000 4.740" Properties=species:S:1:pos:R:3 pbc="T T T"
In 0.000 0.000 0.000
Cu 2.669 2.669 2.370
As 2.669 2.669 0.000
Br 0.000 2.669 2.370
Br 2.669 0.000 2.370
```


The following is a PBE calculation of a relaxed YMnTe2 crystal, from the Alexandria database.

- Calculated density: 5.98 g/cm3
- Symmetry: Pm, No. 6
- ΔE_f (raw): -0.74 eV per atom

Geometry as extended XYZ:
```
4
Lattice="4.039 0.000 0.000 0.000 4.060 0.000 -2.013 0.000 6.759" Properties=species:S:1:pos:R:3 pbc="T T T"
Y 0.000 0.000 0.000
Mn -0.005 2.030 2.778
Te 0.006 2.030 5.542
Te 2.018 0.000 2.362
```


Short version: E_tot = -2.910 -6.223 eV per atom, in the order given.